[1]
An optimized crystal structure of KSc. Source: the Alexandria database, functional PBE.

The structure in extended XYZ format:
```
8
Lattice="7.1490 0.0000 0.0000 0.0000 7.1490 0.0000 0.0000 0.0000 7.3201" Properties=species:S:1:pos:R:3 pbc="T T T"
K 1.2133 5.9357 0.0000
K 4.7879 4.7879 3.6600
K 2.3612 2.3612 3.6600
K 5.9357 1.2133 0.0000
Sc 2.5673 2.5673 0.0000
Sc 6.1418 1.0072 3.6600
Sc 1.0072 6.1418 3.6600
Sc 4.5818 4.5818 0.0000
```

---

[2]
An optimized crystal structure of K3Sc. Source: the Alexandria database, functional PBE.

The structure in extended XYZ format:
```
8
Lattice="5.4353 -10.7658 -4.0977 4.3573 -11.1812 4.2698 -8.7154 9.2649 -0.6629" Properties=species:S:1:pos:R:3 pbc="T T T"
K -1.6400 -0.7504 -2.3803
K -2.1791 -0.9582 1.8035
K 0.8081 -6.2372 -2.3373
K 0.2691 -6.4449 1.8465
K 1.2419 -2.7833 0.0218
K 8.5508 -19.1637 0.1503
Sc 3.6825 -8.2530 0.0647
Sc 6.1102 -13.6939 0.1074
```

Values from the calculation:
The offset from the most stable computed form comes out at 0.552 eV per formula unit.

---

[3]
An optimized crystal structure of K5Sc. Source: the Alexandria database, functional PBE.

The structure in extended XYZ format:
```
6
Lattice="3.0492 -9.5408 0.0000 3.0492 9.5408 0.0000 0.0000 0.0000 6.0901" Properties=species:S:1:pos:R:3 pbc="T T T"
K 3.0492 2.9568 3.0451
K 3.0492 6.5571 0.0000
K 0.0000 0.0000 3.0451
K 3.0492 -6.5571 0.0000
K 3.0492 -2.9568 3.0451
Sc 3.0492 0.0000 0.0000
```

Values from the calculation:
The offset from the most stable computed form comes out at 0.390 eV per formula unit.

---

[4]
An optimized crystal structure of K7Sc. Source: the Alexandria database, functional PBE.

The structure in extended XYZ format:
```
8
Lattice="8.3181 -2.8111 -1.2104 2.1229 -8.4317 1.7197 1.8805 -5.5425 -6.6560" Properties=species:S:1:pos:R:3 pbc="T T T"
K 1.0614 -4.2159 0.8599
K 5.2205 -5.6214 0.2547
K 2.0017 -6.9871 -2.4681
K 5.0993 -4.1768 -3.9332
K 0.9402 -2.7713 -3.3280
K 4.1590 -1.4055 -0.6052
K 6.1607 -8.3927 -3.0733
Sc 0.0000 0.0000 0.0000
```

---

[5]
An optimized crystal structure of K5Sc. Source: the Alexandria database, functional PBE.

The structure in extended XYZ format:
```
6
Lattice="1.9853 -12.1923 0.0000 1.9853 12.1923 0.0000 0.0000 0.0000 7.1448" Properties=species:S:1:pos:R:3 pbc="T T T"
K 1.9853 11.7878 0.0000
K 1.9853 3.8464 0.0000
K 1.9853 -4.0367 0.0000
K 1.9853 1.1762 3.5724
K 1.9853 -6.1967 3.5724
Sc 1.9853 9.6794 3.5724
```

Values from the calculation:
The offset from the most stable computed form comes out at 0.194 eV per formula unit.

---

[6]
An optimized crystal structure of KSc. Source: the Alexandria database, functional PBE.

The structure in extended XYZ format:
```
4
Lattice="-3.3526 0.3328 -1.2412 -0.7534 -3.3176 1.1454 -4.2984 1.2481 11.9454" Properties=species:S:1:pos:R:3 pbc="T T T"
K -0.8943 -3.1209 1.5788
K -5.3242 -1.5823 8.7640
Sc -2.3567 -1.2559 6.0291
Sc -3.1084 -0.1297 3.1684
```

---

no.,energy of formation (eV/atom)
1,1.096
2,0.601
3,0.403
4,0.313
5,0.371
6,0.378